No. 1
Computed, not measured: crystalline Nd2ZnHg at its relaxed geometry at the GGA-PBEsol level of DFT.

## Properties
E	-14.10	eV/f.u.
ΔE_f	-1.614	eV/f.u.

Unit cell a=7.3944 b=7.3944 c=7.3944 alpha=90.00 beta=90.00 gamma=90.00
Space group Fm-3m (No. 225)
Inequivalent atoms, fractional coordinates:
Nd 0.2500 0.2500 0.2500
Zn 0.0000 0.0000 0.0000
Hg 0.0000 0.0000 0.5000

---

No. 2
Computed, not measured: crystalline CaZnSbH at its relaxed geometry at the GGA-PBEsol level of DFT.

## Properties
E	-13.78	eV/f.u.

Unit cell a=4.3015 b=4.3015 c=4.7090 alpha=90.00 beta=90.00 gamma=120.00
Space group P3m1 (No. 156)
Inequivalent atoms, fractional coordinates:
Ca 0.0000 0.0000 0.0000
Zn 0.6667 0.3333 0.3912
Sb 0.3333 0.6667 0.5548
H 0.6667 0.3333 0.0345

---

No. 3
Computed, not measured: crystalline SrB2Au at its relaxed geometry at the GGA-PBEsol level of DFT.

## Properties
E	-18.62	eV/f.u.
ΔE_f	1.180	eV/f.u.

Unit cell a=4.3592 b=4.3592 c=14.5512 alpha=90.00 beta=90.00 gamma=90.00
Space group I4_1/amd (No. 141, origin choice 2)
Inequivalent atoms, fractional coordinates:
Sr 0.0000 0.2500 0.3750
B 0.0000 0.0000 0.0000
Au 0.0000 0.2500 0.8750

---

No. 4
Computed, not measured: crystalline La2Ag3 at its relaxed geometry at the GGA-PBEsol level of DFT.

## Properties
E	-21.70	eV/f.u.
relative energy among the computed polymorphs	0	meV per atom
ΔE_f	-1.071	eV/f.u.

Unit cell a=3.6759 b=3.6759 c=17.8836 alpha=90.00 beta=90.00 gamma=90.00
Space group I4/mmm (No. 139)
Inequivalent atoms, fractional coordinates:
La 0.0000 0.0000 0.1093
Ag 0.0000 0.0000 0.2855
Ag 0.0000 0.0000 0.5000

---

No. 5
Computed, not measured: crystalline Co2Mo at its relaxed geometry at the GGA-PBEsol level of DFT.

## Properties
E	-27.30	eV/f.u.
ΔE_f	-0.057	eV/f.u.

Unit cell a=2.5846 b=13.2012 c=4.0760 alpha=90.00 beta=90.00 gamma=90.00
Space group Cmcm (No. 63)
Inequivalent atoms, fractional coordinates:
Co 0.0000 0.0565 0.2500
Co 0.0000 0.2787 0.7500
Mo 0.0000 0.3887 0.2500

---

No. 6
Computed, not measured: crystalline Tl2WAu at its relaxed geometry at the GGA-PBEsol level of DFT.

## Properties
E	-19.51	eV/f.u.
ΔE_f	3.479	eV/f.u.

Unit cell a=3.5141 b=3.5141 c=6.3064 alpha=90.00 beta=90.00 gamma=90.00
Space group P4/mmm (No. 123)
Inequivalent atoms, fractional coordinates:
Tl 0.0000 0.0000 0.2421
W 0.5000 0.5000 0.0000
Au 0.5000 0.5000 0.5000

---

No. 7
Computed, not measured: crystalline K2MgTeC at its relaxed geometry at the GGA-PBEsol level of DFT.

## Properties
E	-11.34	eV/f.u.
E_form (uncorrected)	1.16	eV/atom

Unit cell a=6.7677 b=6.7677 c=5.2244 alpha=90.00 beta=90.00 gamma=90.00
Space group P4/mmm (No. 123)
Inequivalent atoms, fractional coordinates:
K 0.0000 0.5000 0.0000
Mg 0.0000 0.0000 0.0000
Te 0.0000 0.0000 0.5000
C 0.5000 0.5000 0.5000

---

No. 8
Computed, not measured: crystalline KLi2Mn at its relaxed geometry at the GGA-PBEsol level of DFT.

## Properties
E	-12.41	eV/f.u.
relative energy among the computed polymorphs	0	meV per atom
ΔE_f	2.413	eV/f.u.

Unit cell a=9.4323 b=3.0078 c=7.2006 alpha=90.00 beta=94.34 gamma=90.00
Space group C2/m (No. 12)
Inequivalent atoms, fractional coordinates:
K 0.0000 0.0000 0.0000
Li 0.2347 0.0000 0.6608
Mn 0.0000 0.5000 0.5000